First-principles (PBE) data for a relaxed structure of MnRe2As, as listed in Alexandria via LeMat-Bulk.

extended XYZ file:
```
4
Lattice="2.9266 0.0000 0.0000 0.0000 2.9266 0.0000 0.0000 0.0000 6.4420" Properties=species:S:1:pos:R:3 pbc="T T T"
Mn 0.0000 0.0000 0.0000
Re 1.4633 1.4633 1.5812
Re 1.4633 1.4633 4.8608
As 0.0000 0.0000 3.2210
```

Results
Electronic total energy = -37.83 eV/f.u.
Total magnetic moment = 0.000 μB/f.u.
Energy relative to the elements = 0.22 eV/atom
N(E_F) = 2.469 states/eV per cell